(1)
Material: Nb2InGe
Method: DFT, GGA-PBE
State: relaxed

ρ = 7.66 g cm⁻³
Energy = -6.76 eV/atom
N(E_F) = 0.604 states/eV per atom
Magnetic moment = 0.000 μB per atom
Formation enthalpy at 0 K = 0.11 eV/atom

abc: 3.591 3.591 7.537
angles: 76.22 76.22 60.00
Sites, in units of the cell vectors:
In 0.500 0.500 0.500
Nb 0.265 0.265 0.205
Nb 0.735 0.735 0.795
Ge 0.000 0.000 0.000

***

(2)
Material: NaLiZnSe2
Method: DFT, GGA-PBE
State: relaxed

ρ = 3.68 g cm⁻³
Energy = -3.28 eV/atom
N(E_F) = 0.000 states/eV per atom
Magnetic moment = 0.000 μB per atom

abc: 4.104 7.294 8.272
angles: 80.03 75.64 73.66
Sites, in units of the cell vectors:
Se 0.432 0.788 0.349
Se 0.568 0.212 0.651
Se 0.172 0.746 0.909
Se 0.828 0.254 0.091
Zn 0.958 0.897 0.187
Zn 0.042 0.103 0.813
Li 0.646 0.628 0.079
Li 0.354 0.372 0.921
Na 0.207 0.218 0.368
Na 0.793 0.782 0.632

***

(3)
Material: PmNi4Ge2
Method: DFT, GGA-PBE
State: relaxed

ρ = 8.27 g cm⁻³
Energy = -5.81 eV/atom
N(E_F) = 0.753 states/eV per atom
Magnetic moment = 0.000 μB per atom
E above lowest polymorph = 0.00 kJ per mole of atoms
Formation enthalpy at 0 K = -0.51 eV/atom

abc: 3.904 6.678 16.174
angles: 90.00 90.00 90.00
Sites, in units of the cell vectors:
Ni 0.750 0.824 0.959
Ni 0.750 0.999 0.101
Ni 0.250 0.324 0.541
Ni 0.750 0.183 0.808
Ni 0.250 0.176 0.041
Ni 0.750 0.811 0.805
Ni 0.250 0.817 0.192
Ni 0.250 0.311 0.695
Ni 0.250 0.189 0.195
Ni 0.750 0.689 0.305
Ni 0.750 0.501 0.601
Ni 0.750 0.317 0.308
Ni 0.250 0.001 0.899
Ni 0.250 0.499 0.399
Ni 0.750 0.676 0.459
Ni 0.250 0.683 0.692
Pm 0.250 0.520 0.889
Pm 0.750 0.480 0.111
Pm 0.750 0.020 0.611
Pm 0.250 0.980 0.389
Ge 0.250 0.695 0.543
Ge 0.750 0.004 0.243
Ge 0.250 0.805 0.043
Ge 0.250 0.996 0.757
Ge 0.750 0.195 0.957
Ge 0.250 0.504 0.257
Ge 0.750 0.496 0.743
Ge 0.750 0.305 0.457